DFT (GGA-PBE) results for a relaxed Ac2Sn4PdRh3 crystal.

The structure belongs to space group P-4m2 (No. 115); the cell edges are 4.697, 4.697 and 10.562 Å and the angles 90.00°, 90.00° and 90.00°. The inequivalent atoms are Ac at (0.000, 0.500, 0.247), Sn at (0.000, 0.000, 0.500), Sn at (0.000, 0.500, 0.877), Sn at (0.500, 0.500, 0.500), Pd at (0.500, 0.500, 0.000), Rh at (0.000, 0.000, 0.000) and Rh at (0.000, 0.500, 0.628).

As for the uncorrected energy: -5.91 eV/atom. For the energy relative to the elements, the calculation gives -7.58 eV/f.u.